Record 1
Compound: CsCuTeI6
Source: Alexandria via LeMat-Bulk
Functional: PBE
Structure: optimized geometry

Values from the calculation:
E_tot: -2.354 eV per atom

a = 7.488 Å, b = 14.342 Å, c = 8.221 Å
α = 90.00°, β = 98.56°, γ = 90.00°
Space group C2 (No. 5)
Unique sites:
Cs (0.000, 0.000, 0.000) (multiplicity 2)
Cu (0.000, 0.423, 0.500) (multiplicity 2)
Te (0.000, 0.707, 0.500) (multiplicity 2)
I (0.162, 0.542, 0.332) (multiplicity 4)
I (0.233, 0.227, 0.198) (multiplicity 4)
I (0.245, 0.826, 0.327) (multiplicity 4)

***

Record 2
Compound: CsCu2TeI8
Source: Alexandria via LeMat-Bulk
Functional: PBE
Structure: optimized geometry

Values from the calculation:
E_tot: -2.371 eV per atom
density of states at the Fermi level: 19.9 states/eV/f.u.

a = 7.3568 Å, b = 7.3568 Å, c = 32.3793 Å
α = 90.00°, β = 90.00°, γ = 120.00°
Space group R-3 (No. 148, hexagonal axes)
Unique sites:
Cs (0.0000, 0.0000, 0.0000) (multiplicity 3)
Cu (0.0000, 0.0000, 0.2462) (multiplicity 6)
Te (0.0000, 0.0000, 0.5000) (multiplicity 3)
I (0.0000, 0.0000, 0.3244) (multiplicity 6)
I (0.0010, 0.6621, 0.2218) (multiplicity 18)

***

Record 3
Compound: CsTiCuI6
Source: Alexandria via LeMat-Bulk
Functional: PBE
Structure: optimized geometry

Values from the calculation:
E_tot: -3.203 eV per atom

a = 7.019 Å, b = 7.869 Å, c = 8.396 Å
α = 87.41°, β = 84.20°, γ = 63.52°
Space group P1 (No. 1)
Unique sites:
Cs (0.000, 0.000, 0.000) (multiplicity 1)
Ti (0.707, 0.585, 0.500) (multiplicity 1)
Cu (0.434, 0.134, 0.501) (multiplicity 1)
I (0.061, 0.323, 0.656) (multiplicity 1)
I (0.373, 0.877, 0.349) (multiplicity 1)
I (0.459, 0.556, 0.758) (multiplicity 1)
I (0.616, 0.323, 0.344) (multiplicity 1)
I (0.751, 0.876, 0.651) (multiplicity 1)
I (0.986, 0.556, 0.242) (multiplicity 1)

***

Record 4
Compound: Cs2TlCu2I6
Source: Alexandria via LeMat-Bulk
Functional: PBE
Structure: optimized geometry

Values from the calculation:
E_tot: -2.692 eV per atom
density of states at the Fermi level: 6.0 states/eV/f.u.

a = 14.846 Å, b = 7.872 Å, c = 10.287 Å
α = 90.00°, β = 117.17°, γ = 90.00°
Space group C2/m (No. 12)
Unique sites:
Cs (0.202, 0.000, 0.214) (multiplicity 4)
Tl (0.000, 0.000, 0.500) (multiplicity 2)
Cu (0.048, 0.500, 0.246) (multiplicity 4)
I (0.064, 0.242, 0.820) (multiplicity 8)
I (0.237, 0.500, 0.369) (multiplicity 4)

***

Record 5
Compound: CsTlCu2I4
Source: Alexandria via LeMat-Bulk
Functional: PBE
Structure: optimized geometry

Values from the calculation:
E_tot: -2.786 eV per atom
density of states at the Fermi level: 0.0 states/eV/f.u.

a = 8.398 Å, b = 9.269 Å, c = 9.304 Å
α = 90.00°, β = 90.00°, γ = 90.00°
Space group I222 (No. 23)
Unique sites:
Cs (0.000, 0.000, 0.000) (multiplicity 2)
Tl (0.000, 0.500, 0.000) (multiplicity 2)
Cu (0.000, 0.141, 0.500) (multiplicity 4)
I (0.207, 0.193, 0.322) (multiplicity 8)

***

Record 6
Compound: CsTl3Cu4I12
Source: Alexandria via LeMat-Bulk
Functional: PBE
Structure: optimized geometry

Values from the calculation:
E_tot: -2.499 eV per atom
density of states at the Fermi level: 17.0 states/eV/f.u.

a = 16.1836 Å, b = 16.1836 Å, c = 12.8417 Å
α = 90.00°, β = 90.00°, γ = 120.00°
Space group R32 (No. 155, hexagonal axes)
Unique sites:
Cs (0.0000, 0.0000, 0.0000) (multiplicity 3)
Tl (0.0000, 0.5456, 0.0000) (multiplicity 9)
Cu (0.0000, 0.0000, 0.5000) (multiplicity 3)
Cu (0.0000, 0.4454, 0.5000) (multiplicity 9)
I (0.0000, 0.6020, 0.5000) (multiplicity 9)
I (0.0000, 0.8449, 0.5000) (multiplicity 9)
I (0.0183, 0.1895, 0.2123) (multiplicity 18)

***

Record 7
Compound: CsTl2Cu2I6
Source: Alexandria via LeMat-Bulk
Functional: PBE
Structure: optimized geometry

Values from the calculation:
E_tot: -2.647 eV per atom
density of states at the Fermi level: 6.1 states/eV/f.u.

a = 12.072 Å, b = 7.933 Å, c = 11.216 Å
α = 90.00°, β = 111.77°, γ = 90.00°
Space group C2/m (No. 12)
Unique sites:
Cs (0.000, 0.000, 0.000) (multiplicity 2)
Tl (0.189, 0.000, 0.638) (multiplicity 4)
Cu (0.024, 0.500, 0.808) (multiplicity 4)
I (0.062, 0.242, 0.327) (multiplicity 8)
I (0.187, 0.500, 0.026) (multiplicity 4)

***

Record 8
Compound: Cs2TlCu2I7
Source: Alexandria via LeMat-Bulk
Functional: PBE
Structure: optimized geometry

Values from the calculation:
E_tot: -2.553 eV per atom
density of states at the Fermi level: 5.4 states/eV/f.u.

a = 8.010 Å, b = 8.013 Å, c = 15.303 Å
α = 90.00°, β = 105.16°, γ = 90.00°
Space group C2/m (No. 12)
Unique sites:
Cs (0.178, 0.000, 0.356) (multiplicity 4)
Tl (0.000, 0.000, 0.000) (multiplicity 2)
Cu (0.094, 0.500, 0.190) (multiplicity 4)
I (0.000, 0.500, 0.000) (multiplicity 2)
I (0.165, 0.250, 0.829) (multiplicity 8)
I (0.187, 0.500, 0.375) (multiplicity 4)